First-principles (GGA-PBE) data for a relaxed structure of Rb3Ce2MgSe6, as listed in Alexandria.

Output
Its crystal system is monoclinic. The space group is C2/m, No. 12. For the uncorrected energy, the calculation gives -4.62 eV per atom. Its density of states at the Fermi level is 5.979 states/eV/cell.

a = 7.4246 Å, b = 7.4246 Å, c = 8.3313 Å
α = 98.54°, β = 98.54°, γ = 119.99°
Element x y z (fractional)
Rb 0.8335 0.1665 0.5000
Rb 0.5000 0.5000 0.5000
Se 0.2629 0.2629 0.8064
Se 0.0645 0.3917 0.1936
Ce 0.3333 0.6667 0.0000
Se 0.7371 0.7371 0.1936
Se 0.6083 0.9355 0.8064
Mg 0.0000 0.0000 0.0000
Se 0.9355 0.6083 0.8064
Rb 0.1665 0.8335 0.5000
Se 0.3917 0.0645 0.1936
Ce 0.6667 0.3333 0.0000

First-principles (GGA-PBE) data for a relaxed structure of Rb2Ce2MgSe6, as listed in Alexandria.

Output
Its crystal system is monoclinic. The space group is C2/m, No. 12. For the uncorrected energy, the calculation gives -4.78 eV per atom.

a = 7.2449 Å, b = 7.2449 Å, c = 8.4960 Å
α = 98.08°, β = 98.08°, γ = 120.08°
Element x y z (fractional)
Se 0.3939 0.0618 0.6888
Rb 0.8343 0.1657 0.0000
Ce 0.3338 0.6662 0.5000
Se 0.7364 0.7364 0.6865
Se 0.2636 0.2636 0.3135
Rb 0.1657 0.8343 0.0000
Se 0.9382 0.6061 0.3112
Mg 0.0000 0.0000 0.5000
Se 0.6061 0.9382 0.3112
Ce 0.6662 0.3338 0.5000
Se 0.0618 0.3939 0.6888